Record 1
# Tl2ZnBr

A geometry-optimized Tl2ZnBr structure (GGA-PBE, the Alexandria database).

symmetry	Imm2, No. 44
raw formation energy	-0.172	eV/atom
theoretical density	7.8	Mg/m³
density of states at the Fermi level	1.42	states/eV per cell
M_tot	0.0	μB per cell
total DFT energy (no corrections)	-2.092	eV/atom
excess energy over the best structure of this formula in the dataset	33	meV/atom

Lattice parameters (Å, degrees): 6.487 6.487 6.487 142.75 133.98 60.63
Fractional coordinates of all 4 atoms:
Tl (0.000, 0.000, 0.000)
Tl (0.742, 0.242, 0.500)
Zn (0.517, 0.517, 0.000)
Br (0.269, 0.769, 0.500)

Record 2
# Tl2ZnBr

A geometry-optimized Tl2ZnBr structure (GGA-PBE, the Alexandria database).

symmetry	F-43m, No. 216
raw formation energy	-0.026	eV/atom
theoretical density	7.7	Mg/m³
density of states at the Fermi level	3.90	states/eV per cell
M_tot	0.0	μB per cell
total DFT energy (no corrections)	-1.946	eV/atom
excess energy over the best structure of this formula in the dataset	179	meV/atom

Lattice parameters (Å, degrees): 5.527 5.527 5.527 60.00 60.00 60.00
Fractional coordinates of all 4 atoms:
Tl (0.000, 0.000, 0.000)
Tl (0.250, 0.250, 0.250)
Zn (0.750, 0.750, 0.750)
Br (0.500, 0.500, 0.500)

Record 3
# Tl2ZnBr

A geometry-optimized Tl2ZnBr structure (GGA-PBE, the Alexandria database).

symmetry	R3m, No. 160
raw formation energy	-0.191	eV/atom
theoretical density	8.0	Mg/m³
density of states at the Fermi level	1.77	states/eV per cell
M_tot	0.0	μB per cell
total DFT energy (no corrections)	-2.111	eV/atom
excess energy over the best structure of this formula in the dataset	14	meV/atom

Lattice parameters (Å, degrees): 9.822 9.822 9.822 21.79 21.79 21.79
Fractional coordinates of all 4 atoms:
Tl (0.000, 0.000, 0.000)
Tl (0.237, 0.237, 0.237)
Zn (0.495, 0.495, 0.495)
Br (0.771, 0.771, 0.771)

> What is the formula in the first record?

Tl2ZnBr